(1)
# Y2ScSn2

A relaxed structure of Y2ScSn2 (GGA-PBE, Alexandria).

a = 7.7616 Å, b = 7.7616 Å, c = 4.4788 Å
α = 90.00°, β = 90.00°, γ = 90.00°
Closest atoms and distances in Å follow each position.
Atoms (fractional coordinates):
Y (0.1702, 0.3298, 0.0000)  6 Sn 3.09-3.27
Y (0.3298, 0.8298, 0.0000)  6 Sn 3.09-3.27
Y (0.6702, 0.1702, 0.0000)  6 Sn 3.09-3.27
Y (0.8298, 0.6702, 0.0000)  6 Sn 3.09-3.27
Sc (0.0000, 0.0000, 0.5000)  4 Sn 3.02
Sc (0.5000, 0.5000, 0.5000)  4 Sn 3.02
Sn (0.1354, 0.6354, 0.5000)  1 Sn 2.97, 2 Sc 3.02, 6 Y 3.09-3.27
Sn (0.3646, 0.1354, 0.5000)  1 Sn 2.97, 2 Sc 3.02, 6 Y 3.09-3.27
Sn (0.6354, 0.8646, 0.5000)  1 Sn 2.97, 2 Sc 3.02, 6 Y 3.09-3.27
Sn (0.8646, 0.3646, 0.5000)  1 Sn 2.97, 2 Sc 3.02, 6 Y 3.09-3.27

Formation energy from the elements ... -0.707 eV per atom
DOS(E_F) ... 11.7 states/eV/cell
Space group ... P4/mbm (127)
ΔE to the lowest computed polymorph ... 0 meV/atom

=====

(2)
# SmDyRh2

A relaxed structure of SmDyRh2 (GGA-PBE, Alexandria).

a = 4.8990 Å, b = 4.8990 Å, c = 4.8990 Å
α = 120.11°, β = 120.11°, γ = 89.80°
Closest atoms and distances in Å follow each position.
Atoms (fractional coordinates):
Sm (0.0000, 0.0000, 0.0000)  8 Rh 3.00
Dy (0.5000, 0.5000, 0.0000)  8 Rh 3.00
Rh (0.2500, 0.7500, 0.5000)  4 Dy 3.00, 4 Sm 3.00
Rh (0.7500, 0.2500, 0.5000)  4 Dy 3.00, 4 Sm 3.00

Formation energy from the elements ... -0.796 eV per atom
DOS(E_F) ... 2.7 states/eV/cell
Space group ... I4/mmm (139)

=====

(3)
# AcDyO3

A relaxed structure of AcDyO3 (GGA-PBE, Alexandria).

a = 6.0115 Å, b = 4.0913 Å, c = 8.3622 Å
α = 90.00°, β = 102.39°, γ = 90.00°
Closest atoms and distances in Å follow each position.
Atoms (fractional coordinates):
Ac (0.2197, 0.2500, 0.3849)  6 O 2.47-2.67
Ac (0.7803, 0.7500, 0.6151)  6 O 2.47-2.67
Dy (0.3995, 0.2500, 0.8332)  5 O 2.16-2.32
Dy (0.6005, 0.7500, 0.1668)  5 O 2.16-2.32
O (0.0706, 0.2500, 0.6632)  1 Dy 2.17
O (0.4432, 0.2500, 0.1155)  3 Dy 2.26-2.32
O (0.4466, 0.7500, 0.3778)  1 Dy 2.16
O (0.5534, 0.2500, 0.6222)  1 Dy 2.16
O (0.5568, 0.7500, 0.8845)  3 Dy 2.26-2.32
O (0.9294, 0.7500, 0.3368)  1 Dy 2.17

Formation energy from raw total energies ... -17.08 eV/f.u.
DOS(E_F) ... 0.0 states/eV/cell
Space group ... P2_1/m (11)

=====

Q: Which value of DOS(E_F) does entry 3 give?
A: 0.0 states/eV/cell